! PuHgBiPb2 | Alexandria | GGA-PBE | optimized geometry; values from VASP
&SYSTEM
  ibrav = 0, nat = 10, ntyp = 4
/
ATOMIC_SPECIES
Pu 244.00 Pu.upf
Hg 200.59 Hg.upf
Bi 208.98 Bi.upf
Pb 207.20 Pb.upf
CELL_PARAMETERS angstrom
3.237 -7.876 0.000
3.237 7.876 0.000
0.000 0.000 6.371
ATOMIC_POSITIONS angstrom
Pu 3.237 4.473 4.778
Pu 3.237 -4.473 1.593
Hg 3.237 5.704 1.593
Hg 3.237 -5.704 4.778
Bi 3.237 2.785 1.593
Bi 3.237 -2.785 4.778
Pb 1.640 0.000 0.000
Pb 1.640 0.000 3.185
Pb 4.833 0.000 0.000
Pb 4.833 0.000 3.185
! space-group type: Cmcm (63)
! energy of formation from the pure elements: 0.05 eV per atom

***

! TlSbBr2 | Alexandria | GGA-PBE | optimized geometry; values from VASP
&SYSTEM
  ibrav = 0, nat = 4, ntyp = 3
/
ATOMIC_SPECIES
Tl 204.38 Tl.upf
Sb 121.76 Sb.upf
Br 79.90 Br.upf
CELL_PARAMETERS angstrom
4.025 -4.029 0.000
4.025 4.029 0.000
0.000 0.000 3.632
ATOMIC_POSITIONS angstrom
Tl 0.000 0.000 0.000
Sb 4.025 0.000 0.000
Br 2.012 2.014 1.816
Br 2.012 -2.014 1.816
! space-group type: Cmmm (65)
! raw formation energy: -73 kJ/mol of formula units

***

! Ga2Pd2Pt | Alexandria | GGA-PBE | optimized geometry; values from VASP
&SYSTEM
  ibrav = 0, nat = 10, ntyp = 3
/
ATOMIC_SPECIES
Ga 69.72 Ga.upf
Pd 106.42 Pd.upf
Pt 195.08 Pt.upf
CELL_PARAMETERS angstrom
7.149 0.000 0.000
0.000 7.149 0.000
0.000 0.000 2.997
ATOMIC_POSITIONS angstrom
Ga 1.103 2.472 0.000
Ga 2.472 6.046 0.000
Ga 4.677 1.103 0.000
Ga 6.046 4.677 0.000
Pd 1.028 4.603 1.498
Pd 2.546 1.028 1.498
Pd 4.603 6.121 1.498
Pd 6.121 2.546 1.498
Pt 0.000 0.000 0.000
Pt 3.574 3.574 0.000
! space-group type: P4/mbm (127)
! energy of formation from the pure elements: -0.52 eV per atom
! energy relative to the lowest polymorph listed for this composition: 85 meV/atom

***

! AlTlVN2 | Alexandria | GGA-PBE | optimized geometry; values from VASP
&SYSTEM
  ibrav = 0, nat = 5, ntyp = 4
/
ATOMIC_SPECIES
Al 26.98 Al.upf
Tl 204.38 Tl.upf
V 50.94 V.upf
N 14.01 N.upf
CELL_PARAMETERS angstrom
3.841 0.000 0.000
0.000 3.841 0.000
0.000 0.000 5.637
ATOMIC_POSITIONS angstrom
Al 0.000 0.000 0.000
Tl 1.921 1.921 0.000
V 1.921 1.921 2.819
N 0.000 1.921 2.819
N 1.921 0.000 2.819
! space-group type: P4/mmm (123)
! raw formation energy: 311 kJ/mol of formula units

***

! ZrHg2Br | Alexandria | GGA-PBE | optimized geometry; values from VASP
&SYSTEM
  ibrav = 0, nat = 4, ntyp = 3
/
ATOMIC_SPECIES
Zr 91.22 Zr.upf
Hg 200.59 Hg.upf
Br 79.90 Br.upf
CELL_PARAMETERS angstrom
-2.054 2.054 5.506
2.054 -2.054 5.506
2.054 2.054 -5.506
ATOMIC_POSITIONS angstrom
Zr 0.000 0.000 0.000
Hg 2.054 0.000 2.753
Hg 0.000 2.054 2.753
Br 0.000 0.000 5.506
! space-group type: I4/mmm (139)
! raw formation energy: 22 kJ/mol of formula units
! energy relative to the lowest polymorph listed for this composition: 442 meV/atom

***

! Er2BeCd | Alexandria | GGA-PBE | optimized geometry; values from VASP
&SYSTEM
  ibrav = 0, nat = 4, ntyp = 3
/
ATOMIC_SPECIES
Er 167.26 Er.upf
Be 9.01 Be.upf
Cd 112.41 Cd.upf
CELL_PARAMETERS angstrom
3.433 0.000 0.000
0.000 3.433 0.000
0.000 0.000 7.522
ATOMIC_POSITIONS angstrom
Er 0.000 0.000 1.626
Er 0.000 0.000 5.896
Be 1.717 1.717 0.000
Cd 1.717 1.717 3.761
! space-group type: P4/mmm (123)
! energy of formation from the pure elements: -0.13 eV per atom
! energy relative to the lowest polymorph listed for this composition: 0 meV/atom

***

! GdPu2Ge | Alexandria | GGA-PBE | optimized geometry; values from VASP
&SYSTEM
  ibrav = 0, nat = 4, ntyp = 3
/
ATOMIC_SPECIES
Gd 157.25 Gd.upf
Pu 244.00 Pu.upf
Ge 72.64 Ge.upf
CELL_PARAMETERS angstrom
4.451 0.000 0.000
0.000 4.451 0.000
0.000 0.000 4.970
ATOMIC_POSITIONS angstrom
Gd 0.000 0.000 0.000
Pu 0.000 2.225 2.485
Pu 2.225 0.000 2.485
Ge 2.225 2.225 0.000
! space-group type: P4/mmm (123)
! energy of formation from the pure elements: -0.28 eV per atom

***

! LiCeTa4N8 | Alexandria | GGA-PBE | optimized geometry; values from VASP
&SYSTEM
  ibrav = 0, nat = 14, ntyp = 4
/
ATOMIC_SPECIES
Li 6.94 Li.upf
Ce 140.12 Ce.upf
Ta 180.95 Ta.upf
N 14.01 N.upf
CELL_PARAMETERS angstrom
3.190 1.842 5.100
-3.190 1.842 5.100
0.000 -3.684 5.100
ATOMIC_POSITIONS angstrom
Li 0.000 0.000 0.000
Ce 0.000 0.000 6.010
Ta 0.000 -1.774 2.522
Ta -1.536 0.887 2.522
Ta 1.536 0.887 2.522
Ta 0.000 0.000 9.510
N 0.000 -2.115 6.507
N -1.832 1.057 6.507
N 0.000 0.000 3.670
N -1.553 -0.897 8.717
N 1.553 -0.897 8.717
N 0.000 1.794 8.717
N 0.000 0.000 11.552
N 1.832 1.057 6.507
! space-group type: R3m (160)
! raw formation energy: -1364 kJ/mol of formula units

***

! RbBa2SrPb | Alexandria | GGA-PBE | optimized geometry; values from VASP
&SYSTEM
  ibrav = 0, nat = 5, ntyp = 4
/
ATOMIC_SPECIES
Rb 85.47 Rb.upf
Ba 137.33 Ba.upf
Sr 87.62 Sr.upf
Pb 207.20 Pb.upf
CELL_PARAMETERS angstrom
6.979 0.000 0.000
0.000 6.979 0.000
0.000 0.000 6.631
ATOMIC_POSITIONS angstrom
Rb 0.000 0.000 0.000
Ba 0.000 3.489 3.315
Ba 3.489 0.000 3.315
Sr 3.489 3.489 0.000
Pb 3.489 3.489 3.315
! space-group type: P4/mmm (123)
! energy of formation from the pure elements: -0.15 eV per atom

***

! FeOs | Alexandria | GGA-PBE | optimized geometry; values from VASP
&SYSTEM
  ibrav = 0, nat = 4, ntyp = 2
/
ATOMIC_SPECIES
Fe 55.84 Fe.upf
Os 190.23 Os.upf
CELL_PARAMETERS angstrom
0.000 3.000 3.000
3.000 0.000 3.000
3.000 3.000 0.000
ATOMIC_POSITIONS angstrom
Fe 0.750 0.750 0.750
Fe 5.249 5.249 5.249
Os 2.250 2.250 2.250
Os 3.749 3.749 3.749
! space-group type: Fd-3m (227)
! energy of formation from the pure elements: 0.30 eV per atom

***

| no. | V (Å³/cell) | E_tot (Ry/atom) |
| --- | --- | --- |
| 1 | 325 | -0.377 |
| 2 | 118 | -0.195 |
| 3 | 153 | -0.369 |
| 4 | 83 | -0.421 |
| 5 | 93 | -0.195 |
| 6 | 89 | -0.262 |
| 7 | 98 | -0.891 |
| 8 | 180 | -0.714 |
| 9 | 323 | -0.161 |
| 10 | 54 | -0.702 |